# 1
First-principles (PBE) data for a relaxed NbIn2Co crystal, as listed in the Alexandria database.

Cell lengths 4.6688, 4.6688, 4.6688 Å; angles 60.00, 60.00, 60.00 degrees
Last column: nearest neighbours and their distance in Å.
Fractional coordinates of all 4 atoms:
Co (0.0000, 0.0000, 0.0000)  8 In 2.86
In (0.2500, 0.2500, 0.2500)  4 Nb 2.86, 4 Co 2.86
In (0.7500, 0.7500, 0.7500)  4 Co 2.86, 4 Nb 2.86
Nb (0.5000, 0.5000, 0.5000)  8 In 2.86

For the energy, the calculation gives -21.28 eV for the cell shown. Its space group is Fm-3m (225).

=====

# 2
First-principles (PBE) data for a relaxed Nb3InCo crystal, as listed in the Alexandria database.

Cell lengths 4.9791, 4.9791, 4.9791 Å; angles 90.00, 90.00, 90.00 degrees
Last column: nearest neighbours and their distance in Å.
Fractional coordinates of all 5 atoms:
Nb (0.0000, 0.0000, 0.5000)  2 In 2.49
Nb (0.0000, 0.5000, 0.0000)  2 In 2.49
Nb (0.5000, 0.0000, 0.0000)  2 In 2.49
Co (0.5000, 0.5000, 0.5000)  12 Nb 3.52
In (0.0000, 0.0000, 0.0000)  6 Nb 2.49

Its distance to the lowest polymorph of the same formula is 1.8618 eV/atom. For the energy, the calculation gives -28.31 eV for the cell shown. Its space group is Pm-3m (221).

=====

# 3
First-principles (PBE) data for a relaxed NbInCo2 crystal, as listed in the Alexandria database.

Cell lengths 5.7542, 5.7542, 5.7542 Å; angles 58.93, 152.51, 128.98 degrees
Last column: nearest neighbours and their distance in Å.
Fractional coordinates of all 4 atoms:
In (0.0000, 0.5000, 0.5000)  2 Co 2.67, 2 In 2.73, 4 Nb 2.83
Co (0.0000, 0.2340, 0.2340)  1 Nb 2.34
Co (0.0000, 0.7660, 0.7660)  1 Nb 2.34
Nb (0.0000, 0.0000, 0.0000)  2 Co 2.34

For the energy, the calculation gives -24.08 eV for the cell shown. Its space group is Immm (71).

=====

The records above give, respectively, calculated formation energy values of 0.343, 2.349, 0.736 eV/atom.